A relaxed TaCr2HF crystal, computed with GGA+U.

Values from the calculation:
VASP energy   -5.56 eV/atom
Mass density   4.490 Mg/m³
D(E_F)   0.556 states/eV/atom
M_tot   7.66 μB per cell

Lattice parameters (Å, degrees): 5.3107 3.9990 5.3107 90.00 90.00 90.00
Last column: nearest neighbours and their distance in Å.
Sites, in units of the cell vectors:
Cr (0.0000, 0.0000, 0.5000)  2 Ta 2.66
Cr (0.5000, 0.0000, 0.0000)  2 Ta 2.66
F (0.0000, 0.5000, 0.0000)  2 Ta 2.00
H (0.5000, 0.5000, 0.5000)  8 Cr 3.32
Ta (0.0000, 0.0000, 0.0000)  2 F 2.00